1.
A plane-wave DFT calculation with PBE was carried out for a relaxed CaNdGdDy crystal.

Cell and atoms, written as extended XYZ:
```
4
Lattice="0.0000 4.1057 4.1057 4.1057 0.0000 4.1057 4.1057 4.1057 0.0000" Properties=species:S:1:pos:R:3 pbc="T T T"
Ca 0.0000 0.0000 0.0000
Nd 2.0528 2.0528 2.0528
Gd 6.1585 6.1585 6.1585
Dy 4.1057 4.1057 4.1057
```

Calculated values
Volume ... 138 Å³/cell
Space group ... F-43m (216)
Energy relative to the elements ... 12.2 kJ per mole of atoms

***

2.
A plane-wave DFT calculation with PBE was carried out for a relaxed CaPmGdDy crystal.

Cell and atoms, written as extended XYZ:
```
4
Lattice="0.0000 4.0972 4.0972 4.0972 0.0000 4.0972 4.0972 4.0972 0.0000" Properties=species:S:1:pos:R:3 pbc="T T T"
Ca 0.0000 0.0000 0.0000
Pm 2.0486 2.0486 2.0486
Gd 6.1458 6.1458 6.1458
Dy 4.0972 4.0972 4.0972
```

Calculated values
Volume ... 138 Å³/cell
Space group ... F-43m (216)
Energy relative to the elements ... 12.7 kJ per mole of atoms

***

3.
A plane-wave DFT calculation with PBE was carried out for a relaxed CaGdDySc crystal.

Cell and atoms, written as extended XYZ:
```
4
Lattice="0.0000 3.9756 3.9756 3.9756 0.0000 3.9756 3.9756 3.9756 0.0000" Properties=species:S:1:pos:R:3 pbc="T T T"
Ca 0.0000 0.0000 0.0000
Gd 1.9878 1.9878 1.9878
Dy 5.9634 5.9634 5.9634
Sc 3.9756 3.9756 3.9756
```

Calculated values
Volume ... 126 Å³/cell
Space group ... F-43m (216)
Energy relative to the elements ... 16.0 kJ per mole of atoms

***

4.
A plane-wave DFT calculation with PBE was carried out for a relaxed CaSmGdDy crystal.

Cell and atoms, written as extended XYZ:
```
4
Lattice="0.0000 4.0900 4.0900 4.0900 0.0000 4.0900 4.0900 4.0900 0.0000" Properties=species:S:1:pos:R:3 pbc="T T T"
Ca 0.0000 0.0000 0.0000
Sm 2.0450 2.0450 2.0450
Gd 6.1350 6.1350 6.1350
Dy 4.0900 4.0900 4.0900
```

Calculated values
Volume ... 137 Å³/cell
Space group ... F-43m (216)
Energy relative to the elements ... 13.2 kJ per mole of atoms

***

5.
A plane-wave DFT calculation with PBE was carried out for a relaxed SrCaGdDy crystal.

Cell and atoms, written as extended XYZ:
```
4
Lattice="0.0000 4.2279 4.2279 4.2279 0.0000 4.2279 4.2279 4.2279 0.0000" Properties=species:S:1:pos:R:3 pbc="T T T"
Sr 0.0000 0.0000 0.0000
Ca 2.1140 2.1140 2.1140
Gd 4.2279 4.2279 4.2279
Dy 6.3419 6.3419 6.3419
```

Calculated values
Volume ... 151 Å³/cell
Space group ... F-43m (216)
Energy relative to the elements ... 18.7 kJ per mole of atoms

***

6.
A plane-wave DFT calculation with PBE was carried out for a relaxed CaTbGdDy crystal.

Cell and atoms, written as extended XYZ:
```
4
Lattice="0.0000 4.0709 4.0709 4.0709 0.0000 4.0709 4.0709 4.0709 0.0000" Properties=species:S:1:pos:R:3 pbc="T T T"
Ca 0.0000 0.0000 0.0000
Tb 6.1064 6.1064 6.1064
Gd 2.0355 2.0355 2.0355
Dy 4.0709 4.0709 4.0709
```

Calculated values
Volume ... 135 Å³/cell
Space group ... F-43m (216)
Energy relative to the elements ... 14.5 kJ per mole of atoms

***

7.
A plane-wave DFT calculation with PBE was carried out for a relaxed CaGdDyTh crystal.

Cell and atoms, written as extended XYZ:
```
4
Lattice="0.0000 4.0712 4.0712 4.0712 0.0000 4.0712 4.0712 4.0712 0.0000" Properties=species:S:1:pos:R:3 pbc="T T T"
Ca 0.0000 0.0000 0.0000
Gd 6.1069 6.1069 6.1069
Dy 2.0356 2.0356 2.0356
Th 4.0712 4.0712 4.0712
```

Calculated values
Volume ... 135 Å³/cell
Space group ... F-43m (216)
Energy relative to the elements ... 20.5 kJ per mole of atoms

***

8.
A plane-wave DFT calculation with PBE was carried out for a relaxed CaGdDyTl crystal.

Cell and atoms, written as extended XYZ:
```
4
Lattice="0.0000 3.9127 3.9127 3.9127 0.0000 3.9127 3.9127 3.9127 0.0000" Properties=species:S:1:pos:R:3 pbc="T T T"
Ca 0.0000 0.0000 0.0000
Gd 5.8690 5.8690 5.8690
Dy 1.9563 1.9563 1.9563
Tl 3.9127 3.9127 3.9127
```

Calculated values
Volume ... 120 Å³/cell
Space group ... F-43m (216)
Energy relative to the elements ... -5.3 kJ per mole of atoms

***

9.
A plane-wave DFT calculation with PBE was carried out for a relaxed CaGdDyY crystal.

Cell and atoms, written as extended XYZ:
```
4
Lattice="0.0000 4.0757 4.0757 4.0757 0.0000 4.0757 4.0757 4.0757 0.0000" Properties=species:S:1:pos:R:3 pbc="T T T"
Ca 0.0000 0.0000 0.0000
Gd 2.0379 2.0379 2.0379
Dy 4.0757 4.0757 4.0757
Y 6.1136 6.1136 6.1136
```

Calculated values
Volume ... 135 Å³/cell
Space group ... F-43m (216)
Energy relative to the elements ... 14.6 kJ per mole of atoms

***

10.
A plane-wave DFT calculation with PBE was carried out for a relaxed Ca3Dy3Ge4 crystal.

Cell and atoms, written as extended XYZ:
```
10
Lattice="4.3077 0.0000 0.0000 0.0000 5.3757 5.4587 0.0000 -5.3757 5.4587" Properties=species:S:1:pos:R:3 pbc="T T T"
Ca 0.0000 0.0000 0.0000
Ca 2.1539 -2.7178 6.2713
Ca 2.1539 2.7178 6.2713
Dy 0.0000 -1.8817 3.5646
Dy 0.0000 1.8817 3.5646
Dy 0.0000 0.0000 7.1020
Ge 2.1539 0.0000 2.3443
Ge 2.1539 0.0000 4.8984
Ge 2.1539 -1.2981 8.9454
Ge 2.1539 1.2981 8.9454
```

Calculated values
Volume ... 253 Å³/cell
Space group ... Amm2 (38)
Energy relative to the elements ... -66.1 kJ per mole of atoms

***

11.
A plane-wave DFT calculation with PBE was carried out for a relaxed CaDyGe crystal.

Cell and atoms, written as extended XYZ:
```
3
Lattice="0.0000 3.5043 3.5043 3.5043 0.0000 3.5043 3.5043 3.5043 0.0000" Properties=species:S:1:pos:R:3 pbc="T T T"
Ca 0.0000 0.0000 0.0000
Dy 3.5043 3.5043 3.5043
Ge 5.2565 5.2565 5.2565
```

Calculated values
Volume ... 86 Å³/cell
Space group ... F-43m (216)
Energy relative to the elements ... -49.9 kJ per mole of atoms

***

12.
A plane-wave DFT calculation with PBE was carried out for a relaxed CaDyGe crystal.

Cell and atoms, written as extended XYZ:
```
6
Lattice="2.9120 -2.8853 0.0000 2.9120 2.8853 0.0000 -1.4123 0.0000 11.6414" Properties=species:S:1:pos:R:3 pbc="T T T"
Ca 0.7552 0.0000 4.4108
Ca 3.6565 0.0000 7.2306
Dy 0.1045 0.0000 10.3058
Dy 4.3072 0.0000 1.3355
Ge 1.4280 0.0000 1.6286
Ge 2.9838 0.0000 10.0128
```

Calculated values
Volume ... 196 Å³/cell
Space group ... C2/m (12)
Energy relative to the elements ... -44.2 kJ per mole of atoms

***

Q: What is the energy relative to the elements in the fifth record?
A: 18.7 kJ per mole of atoms

***

Q: Which of these has the lowest volume?
A: number 11